Computed, not measured: a crystal of KCo2H relaxed with PBEsol at the SCAN level of DFT.

Results
The value obtained for the total energy is -10.919 eV per atom. As for the magnetic moment: 2.7 μB/f.u. The density of states at the Fermi level comes out at 31.98 states/eV/cell.

a = 7.5584 Å, b = 7.5584 Å, c = 7.5584 Å
α = 90.00°, β = 90.00°, γ = 90.00°
Last column: nearest neighbours and their distance in Å.
Space group Fd-3m (No. 227, origin choice 2)
Symmetry-distinct sites (fractional):
K: 0.1250 0.1250 0.1250 (multiplicity 8)  12 Co 3.13, 4 H 3.27, 4 K 3.27
Co: 0.0000 0.0000 0.5000 (multiplicity 16)  2 H 1.64
H: 0.1250 0.1250 0.6250 (multiplicity 8)  4 Co 1.64